{"formula": "Cu8Se", "functional": "PBEsol", "state": "relaxed", "lattice": [[3.566, 0.000, 0.000], [1.783, 5.509, 0.000], [1.783, 0.000, 5.509]], "species": ["Cu", "Cu", "Cu", "Cu", "Cu", "Cu", "Cu", "Cu", "Se"], "frac_coords": [[0.328, 0.000, 0.345], [0.672, 0.000, 0.655], [0.661, 0.339, 0.339], [0.328, 0.345, 0.000], [0.000, 0.339, 0.661], [0.672, 0.655, 0.000], [0.339, 0.661, 0.661], [0.000, 0.661, 0.339], [0.000, 0.000, 0.000]], "space_group": "I4/mmm, No. 139", "total_energy_ev_per_atom": -4.24, "e_form_raw_mev_per_atom": 40.7}


{"formula": "CuSe2", "functional": "PBEsol", "state": "relaxed", "lattice": [[3.785, 0.000, 0.000], [-1.893, 3.278, 0.000], [0.000, 0.000, 9.697]], "species": ["Cu", "Cu", "Se", "Se", "Se", "Se"], "frac_coords": [[0.000, 0.000, 0.000], [0.000, 0.000, 0.500], [0.667, 0.333, 0.127], [0.333, 0.667, 0.627], [0.667, 0.333, 0.373], [0.333, 0.667, 0.873]], "space_group": "P6_3/mmc, No. 194", "total_energy_ev_per_atom": -4.10, "e_form_raw_mev_per_atom": -86.5}


{"formula": "CuSe2", "functional": "PBEsol", "state": "relaxed", "lattice": [[3.658, 0.000, 0.000], [0.000, 5.142, 0.000], [-1.829, 0.000, 5.653]], "species": ["Cu", "Cu", "Se", "Se", "Se", "Se"], "frac_coords": [[0.834, 0.750, 0.668], [0.166, 0.250, 0.332], [0.190, 0.750, 0.380], [0.478, 0.750, 0.955], [0.522, 0.250, 0.045], [0.810, 0.250, 0.620]], "space_group": "Cmcm, No. 63", "total_energy_ev_per_atom": -4.07, "e_form_raw_mev_per_atom": -58.0}


{"formula": "CuSe", "functional": "PBEsol", "state": "relaxed", "lattice": [[-2.692, 2.166, 1.379], [-3.254, -3.185, 3.669], [1.212, 1.047, 5.740]], "species": ["Cu", "Cu", "Cu", "Se", "Se", "Se"], "frac_coords": [[0.891, 0.155, 0.063], [0.574, 0.044, 0.809], [0.424, 0.523, 0.630], [0.397, 0.931, 0.274], [0.111, 0.248, 0.531], [0.770, 0.600, 0.860]], "space_group": "Cm, No. 8", "total_energy_ev_per_atom": -4.15, "e_form_raw_mev_per_atom": -54.1}


{"formula": "Cu2SiSe", "functional": "PBEsol", "state": "relaxed", "lattice": [[-2.833, 1.839, 0.611], [-1.819, -3.848, -0.212], [1.703, 0.210, 3.901]], "species": ["Cu", "Cu", "Se", "Si"], "frac_coords": [[0.000, 0.500, 0.000], [0.000, 0.000, 0.500], [0.500, 0.000, 0.000], [0.500, 0.500, 0.500]], "space_group": "C2/m, No. 12", "total_energy_ev_per_atom": -4.32, "e_form_raw_mev_per_atom": 242.5}


{"formula": "CuSi2Se", "functional": "PBEsol", "state": "relaxed", "lattice": [[-1.469, 1.816, -2.660], [-3.192, -1.214, 0.934], [-0.614, 3.955, 3.039]], "species": ["Cu", "Se", "Si", "Si"], "frac_coords": [[0.500, 0.500, 0.500], [0.000, 0.000, 0.500], [0.000, 0.500, 0.000], [0.500, 0.000, 0.000]], "space_group": "P4/mmm, No. 123", "total_energy_ev_per_atom": -4.58, "e_form_raw_mev_per_atom": 338.3}


{"formula": "Cu2SiSe", "functional": "PBEsol", "state": "relaxed", "lattice": [[4.374, 0.000, 0.000], [2.187, 3.788, 0.000], [2.187, 1.263, 3.572]], "species": ["Cu", "Cu", "Se", "Si"], "frac_coords": [[0.000, 0.000, 0.000], [0.750, 0.750, 0.750], [0.500, 0.500, 0.500], [0.250, 0.250, 0.250]], "space_group": "F-43m, No. 216", "total_energy_ev_per_atom": -4.09, "e_form_raw_mev_per_atom": 475.2}


{"formula": "CuSi2Se", "functional": "PBEsol", "state": "relaxed", "lattice": [[-1.089, 1.023, -2.913], [-0.795, -3.078, -0.783], [-5.735, 0.858, 2.446]], "species": ["Cu", "Se", "Si", "Si"], "frac_coords": [[0.000, 0.000, 0.479], [0.500, 0.500, 0.656], [0.000, 0.000, 0.091], [0.500, 0.500, 0.274]], "space_group": "P4mm, No. 99", "total_energy_ev_per_atom": -4.68, "e_form_raw_mev_per_atom": 237.2}


{"formula": "Cu8SiSe6", "functional": "PBEsol", "state": "relaxed", "lattice": [[-0.780, 5.487, -4.344], [-5.553, 2.374, 3.997], [6.347, 5.362, 5.633]], "species": ["Cu", "Cu", "Cu", "Cu", "Cu", "Cu", "Cu", "Cu", "Cu", "Cu", "Cu", "Cu", "Cu", "Cu", "Cu", "Cu", "Se", "Se", "Se", "Se", "Se", "Se", "Se", "Se", "Se", "Se", "Se", "Se", "Si", "Si"], "frac_coords": [[0.376, 0.000, 0.954], [0.624, 0.500, 0.454], [0.873, 0.782, 0.127], [0.127, 0.718, 0.627], [0.127, 0.282, 0.627], [0.873, 0.218, 0.127], [0.481, 0.817, 0.737], [0.519, 0.683, 0.237], [0.519, 0.317, 0.237], [0.481, 0.183, 0.737], [0.803, 0.747, 0.864], [0.197, 0.753, 0.364], [0.197, 0.247, 0.364], [0.803, 0.253, 0.864], [0.313, 0.000, 0.540], [0.687, 0.500, 0.040], [0.708, 0.000, 0.988], [0.292, 0.500, 0.488], [0.186, 0.000, 0.755], [0.814, 0.500, 0.255], [0.984, 0.000, 0.322], [0.016, 0.500, 0.822], [0.492, 0.000, 0.341], [0.508, 0.500, 0.841], [0.239, 0.759, 0.101], [0.761, 0.741, 0.601], [0.761, 0.259, 0.601], [0.239, 0.241, 0.101], [0.748, 0.000, 0.477], [0.252, 0.500, 0.977]], "space_group": "Pmn2_1, No. 31", "total_energy_ev_per_atom": -4.35, "e_form_raw_mev_per_atom": -115.7}


{"formula": "CuSiSe", "functional": "PBEsol", "state": "relaxed", "lattice": [[-0.013, -3.993, 1.584], [2.602, -1.026, 3.260], [-1.638, -0.759, 3.898]], "species": ["Cu", "Se", "Si"], "frac_coords": [[0.500, 0.500, 0.500], [0.250, 0.250, 0.250], [0.000, 0.000, 0.000]], "space_group": "F-43m, No. 216", "total_energy_ev_per_atom": -4.10, "e_form_raw_mev_per_atom": 540.3}


{"formula": "SmCuSe2", "functional": "PBEsol", "state": "relaxed", "lattice": [[6.518, 0.012, 0.000], [-0.756, 7.012, 0.000], [0.000, 0.000, 7.332]], "species": ["Sm", "Sm", "Sm", "Sm", "Cu", "Cu", "Cu", "Cu", "Se", "Se", "Se", "Se", "Se", "Se", "Se", "Se"], "frac_coords": [[0.693, 0.300, 0.456], [0.307, 0.200, 0.956], [0.307, 0.700, 0.544], [0.693, 0.800, 0.044], [0.063, 0.544, 0.163], [0.937, 0.456, 0.837], [0.063, 0.044, 0.337], [0.937, 0.956, 0.663], [0.419, 0.002, 0.278], [0.419, 0.502, 0.222], [0.581, 0.498, 0.778], [0.581, 0.998, 0.722], [0.894, 0.721, 0.393], [0.106, 0.779, 0.893], [0.106, 0.279, 0.607], [0.894, 0.221, 0.107]], "space_group": "P2_1/c, No. 14", "total_energy_ev_per_atom": -5.54, "e_form_raw_mev_per_atom": -1253.4}


{"formula": "Sm5CuSe8", "functional": "PBEsol", "state": "relaxed", "lattice": [[-7.343, -1.407, -0.377], [3.918, -6.041, -2.049], [1.966, 1.717, 7.016]], "species": ["Sm", "Sm", "Sm", "Sm", "Sm", "Cu", "Se", "Se", "Se", "Se", "Se", "Se", "Se", "Se"], "frac_coords": [[0.879, 0.870, 0.245], [0.625, 0.755, 0.634], [0.121, 0.366, 0.991], [0.000, 0.500, 0.500], [0.375, 0.009, 0.130], [0.500, 0.250, 0.750], [0.740, 0.143, 0.014], [0.260, 0.274, 0.403], [0.398, 0.643, 0.885], [0.241, 0.755, 0.357], [0.759, 0.115, 0.514], [0.129, 0.986, 0.726], [0.871, 0.597, 0.857], [0.602, 0.486, 0.245]], "space_group": "I-4, No. 82", "total_energy_ev_per_atom": -5.99, "e_form_raw_mev_per_atom": -1658.4}